This record from Alexandria via LeMat-Bulk describes a relaxed structure of Mn2ReHg. The functional is GGA-PBE.

The structure in CIF format:
```
data_Mn2ReHg
_cell_length_a 5.722
_cell_length_b 7.338
_cell_length_c 2.868
_cell_angle_alpha 90.00
_cell_angle_beta 90.00
_cell_angle_gamma 90.00
_space_group_name_H-M_alt 'C m m m'
_space_group_IT_number 65
_space_group_name_Hall '-C 2 2'
loop_
_atom_site_label
_atom_site_type_symbol
_atom_site_fract_x
_atom_site_fract_y
_atom_site_fract_z
_atom_site_occupancy
Mn1 Mn 0.250 0.250 0.000 1
Re1 Re 0.000 0.000 0.500 1
Hg1 Hg 0.000 0.500 0.500 1
```

- calculated formation energy (eV per atom) = 0.48
- size of the total moment (μB per formula unit) = 5.00
- electronic total energy (eV per atom) = -7.293